Model 1:
Compound: BaLiMg3
Source: the Alexandria database
Functional: meta-GGA SCAN
Structure: PBEsol geometry

Lattice parameters (Å, degrees): 6.335 6.335 6.335 90.00 90.00 90.00
Positions (direct):
1 Ba 0.000 0.000 0.000
2 Li 0.500 0.500 0.500
3 Mg 0.000 0.000 0.500
4 Mg 0.000 0.500 0.000
5 Mg 0.500 0.000 0.000


Model 2:
Compound: BaLiMg3
Source: the Alexandria database
Functional: meta-GGA SCAN
Structure: PBEsol geometry

Lattice parameters (Å, degrees): 5.226 5.226 5.226 90.00 90.00 90.00
Positions (direct):
1 Ba 0.000 0.000 0.000
2 Li 0.500 0.500 0.500
3 Mg 0.000 0.500 0.500
4 Mg 0.500 0.000 0.500
5 Mg 0.500 0.500 0.000


model 2 takes first place; second place is 89.7 kJ/mol of atoms up.


Model 1:
Compound: BaLiMn2
Source: the Alexandria database
Functional: meta-GGA SCAN
Structure: PBEsol geometry

Lattice parameters (Å, degrees): 3.450 3.450 7.360 90.00 90.00 90.00
Positions (direct):
1 Ba 0.000 0.000 0.000
2 Li 0.000 0.000 0.500
3 Mn 0.500 0.500 0.324
4 Mn 0.500 0.500 0.676


Model 2:
Compound: BaLiMn2
Source: the Alexandria database
Functional: meta-GGA SCAN
Structure: PBEsol geometry

Lattice parameters (Å, degrees): 5.180 5.180 5.180 60.00 60.00 60.00
Positions (direct):
1 Ba 0.000 0.000 0.000
2 Li 0.500 0.500 0.500
3 Mn 0.250 0.250 0.250
4 Mn 0.750 0.750 0.750


Model 3:
Compound: BaLiMn2
Source: the Alexandria database
Functional: meta-GGA SCAN
Structure: PBEsol geometry

Lattice parameters (Å, degrees): 5.027 5.027 5.027 60.00 60.00 60.00
Positions (direct):
1 Ba 0.000 0.000 0.000
2 Li 0.750 0.750 0.750
3 Mn 0.250 0.250 0.250
4 Mn 0.500 0.500 0.500


model 1 takes first place; second place is 3.5 kJ/mol of atoms up.


Model 1:
Compound: Ba2LiMo
Source: the Alexandria database
Functional: meta-GGA SCAN
Structure: PBEsol geometry

Lattice parameters (Å, degrees): 6.789 6.789 6.789 147.98 130.84 59.88
Positions (direct):
1 Ba 0.000 0.000 0.000
2 Ba 0.705 0.205 0.500
3 Li 0.411 0.411 0.000
4 Mo 0.235 0.735 0.500


Model 2:
Compound: Ba2LiMo
Source: the Alexandria database
Functional: meta-GGA SCAN
Structure: PBEsol geometry

Lattice parameters (Å, degrees): 5.689 5.689 5.689 60.00 60.00 60.00
Positions (direct):
1 Ba 0.250 0.250 0.250
2 Ba 0.750 0.750 0.750
3 Li 0.000 0.000 0.000
4 Mo 0.500 0.500 0.500


Model 3:
Compound: Ba2LiMo
Source: the Alexandria database
Functional: meta-GGA SCAN
Structure: PBEsol geometry

Lattice parameters (Å, degrees): 3.742 3.742 8.829 90.00 90.00 90.00
Positions (direct):
1 Ba 0.000 0.000 0.000
2 Ba 0.500 0.500 0.404
3 Li 0.000 0.000 0.649
4 Mo 0.500 0.500 0.758


model 2 takes first place; second place is 1.9 kJ/mol of atoms up.


Model 1:
Compound: BaNa2Li2
Source: the Alexandria database
Functional: meta-GGA SCAN
Structure: PBEsol geometry

Lattice parameters (Å, degrees): 9.571 9.571 3.732 90.00 90.00 90.00
Positions (direct):
1 Ba 0.000 0.000 0.000
2 Ba 0.500 0.500 0.000
3 Na 0.124 0.376 0.000
4 Na 0.376 0.876 0.000
5 Na 0.624 0.124 0.000
6 Na 0.876 0.624 0.000
7 Li 0.173 0.673 0.500
8 Li 0.327 0.173 0.500
9 Li 0.673 0.827 0.500
10 Li 0.827 0.327 0.500


Model 2:
Compound: BaNa2Li2
Source: the Alexandria database
Functional: meta-GGA SCAN
Structure: PBEsol geometry

Lattice parameters (Å, degrees): 7.085 7.085 7.085 134.20 134.20 66.78
Positions (direct):
1 Ba 0.000 0.000 0.000
2 Na 0.366 0.366 0.000
3 Na 0.634 0.634 0.000
4 Li 0.250 0.750 0.500
5 Li 0.750 0.250 0.500


model 1 takes first place; second place is 0.7 kJ/mol of atoms up.


Model 1:
Compound: BaLiNi2
Source: the Alexandria database
Functional: meta-GGA SCAN
Structure: PBEsol geometry

Lattice parameters (Å, degrees): 5.028 5.028 5.028 130.69 130.37 72.56
Positions (direct):
1 Ba 0.000 0.000 0.000
2 Li 0.500 0.500 0.000
3 Ni 0.250 0.750 0.500
4 Ni 0.750 0.250 0.500


Model 2:
Compound: BaLiNi2
Source: the Alexandria database
Functional: meta-GGA SCAN
Structure: PBEsol geometry

Lattice parameters (Å, degrees): 4.099 4.099 5.951 109.96 109.96 59.94
Positions (direct):
1 Ba 0.000 0.000 0.000
2 Li 0.185 0.185 0.560
3 Ni 0.469 0.469 0.409
4 Ni 0.797 0.797 0.395


model 2 takes first place; second place is 46.0 kJ/mol of atoms up.


Model 1:
Compound: BaLiOs
Source: the Alexandria database
Functional: meta-GGA SCAN
Structure: PBEsol geometry

Lattice parameters (Å, degrees): 5.872 5.872 5.872 151.61 137.74 51.70
Positions (direct):
1 Ba 0.000 0.000 0.000
2 Li 0.276 0.276 0.000
3 Os 0.695 0.695 0.000


Model 2:
Compound: BaLiOs
Source: the Alexandria database
Functional: meta-GGA SCAN
Structure: PBEsol geometry

Lattice parameters (Å, degrees): 4.813 4.813 4.813 60.00 60.00 60.00
Positions (direct):
1 Ba 0.000 0.000 0.000
2 Li 0.250 0.250 0.250
3 Os 0.750 0.750 0.750


model 1 takes first place; second place is 73.4 kJ/mol of atoms up.


Model 1:
Compound: BaLiOs
Source: the Alexandria database
Functional: meta-GGA SCAN
Structure: PBEsol geometry

Lattice parameters (Å, degrees): 5.059 5.059 2.911 90.00 90.00 120.00
Positions (direct):
1 Ba 0.000 0.000 0.000
2 Li 0.333 0.667 0.498
3 Os 0.667 0.333 0.501


Model 2:
Compound: BaLiOs
Source: the Alexandria database
Functional: meta-GGA SCAN
Structure: PBEsol geometry

Lattice parameters (Å, degrees): 3.293 3.293 7.462 90.00 90.00 120.00
Positions (direct):
1 Ba 0.000 0.000 0.000
2 Li 0.333 0.667 0.540
3 Os 0.667 0.333 0.302


Model 3:
Compound: BaLiOs
Source: the Alexandria database
Functional: meta-GGA SCAN
Structure: PBEsol geometry

Lattice parameters (Å, degrees): 5.806 5.806 5.806 145.54 145.54 49.54
Positions (direct):
1 Ba 0.000 0.000 0.000
2 Li 0.280 0.280 0.000
3 Os 0.697 0.697 0.000


model 3 takes first place; second place is 5.4 kJ/mol of atoms up.


Model 1:
Compound: BaLi2Pb2
Source: the Alexandria database
Functional: meta-GGA SCAN
Structure: PBEsol geometry

Lattice parameters (Å, degrees): 6.830 6.830 6.830 138.27 138.27 60.50
Positions (direct):
1 Ba 0.000 0.000 0.000
2 Li 0.250 0.750 0.500
3 Li 0.750 0.250 0.500
4 Pb 0.375 0.375 0.000
5 Pb 0.625 0.625 0.000


Model 2:
Compound: BaLi2Pb2
Source: the Alexandria database
Functional: meta-GGA SCAN
Structure: PBEsol geometry

Lattice parameters (Å, degrees): 8.897 8.897 3.280 90.00 90.00 90.00
Positions (direct):
1 Ba 0.000 0.000 0.000
2 Ba 0.500 0.500 0.000
3 Li 0.119 0.381 0.000
4 Li 0.381 0.881 0.000
5 Li 0.619 0.119 0.000
6 Li 0.881 0.619 0.000
7 Pb 0.169 0.669 0.500
8 Pb 0.331 0.169 0.500
9 Pb 0.669 0.831 0.500
10 Pb 0.831 0.331 0.500


model 1 takes first place; second place is 7.4 kJ/mol of atoms up.


Model 1:
Compound: BaLiPt2
Source: the Alexandria database
Functional: meta-GGA SCAN
Structure: PBEsol geometry

Lattice parameters (Å, degrees): 4.858 4.858 4.858 60.00 60.00 60.00
Positions (direct):
1 Ba 0.000 0.000 0.000
2 Li 0.750 0.750 0.750
3 Pt 0.250 0.250 0.250
4 Pt 0.500 0.500 0.500


Model 2:
Compound: BaLiPt2
Source: the Alexandria database
Functional: meta-GGA SCAN
Structure: PBEsol geometry

Lattice parameters (Å, degrees): 5.295 5.295 5.295 132.23 132.23 69.87
Positions (direct):
1 Ba 0.000 0.000 0.000
2 Li 0.500 0.500 0.000
3 Pt 0.250 0.750 0.500
4 Pt 0.750 0.250 0.500


model 2 takes first place; second place is 4.4 kJ/mol of atoms up.


Model 1:
Compound: Ba2LiRe
Source: the Alexandria database
Functional: meta-GGA SCAN
Structure: PBEsol geometry

Lattice parameters (Å, degrees): 5.336 5.336 5.336 60.00 60.00 60.00
Positions (direct):
1 Ba 0.250 0.250 0.250
2 Ba 0.750 0.750 0.750
3 Li 0.000 0.000 0.000
4 Re 0.500 0.500 0.500


Model 2:
Compound: Ba2LiRe
Source: the Alexandria database
Functional: meta-GGA SCAN
Structure: PBEsol geometry

Lattice parameters (Å, degrees): 10.426 10.426 10.426 153.38 153.38 38.01
Positions (direct):
1 Ba 0.123 0.625 0.998
2 Ba 0.375 0.373 0.498
3 Ba 0.627 0.125 0.002
4 Ba 0.875 0.877 0.502
5 Li 0.250 0.750 0.500
6 Li 0.500 0.500 0.000
7 Re 0.000 0.000 0.000
8 Re 0.750 0.250 0.500


model 1 takes first place; second place is 42.0 kJ/mol of atoms up.


Model 1:
Compound: BaLi2Re
Source: the Alexandria database
Functional: meta-GGA SCAN
Structure: PBEsol geometry

Lattice parameters (Å, degrees): 6.595 6.595 6.595 154.59 130.00 56.90
Positions (direct):
1 Ba 0.000 0.000 0.000
2 Li 0.300 0.800 0.500
3 Li 0.700 0.200 0.500
4 Re 0.500 0.500 0.000


Model 2:
Compound: BaLi2Re
Source: the Alexandria database
Functional: meta-GGA SCAN
Structure: PBEsol geometry

Lattice parameters (Å, degrees): 3.164 4.981 5.353 90.00 90.00 90.00
Positions (direct):
1 Ba 0.000 0.000 0.000
2 Li 0.000 0.500 0.500
3 Li 0.500 0.000 0.500
4 Re 0.500 0.500 0.000


model 1 takes first place; second place is 22.2 kJ/mol of atoms up.


Model 1:
Compound: BaLi2Rh
Source: the Alexandria database
Functional: meta-GGA SCAN
Structure: PBEsol geometry

Lattice parameters (Å, degrees): 6.010 6.010 6.010 42.74 42.74 42.74
Positions (direct):
1 Ba 0.000 0.000 0.000
2 Li 0.185 0.185 0.185
3 Li 0.483 0.483 0.483
4 Rh 0.792 0.792 0.792


Model 2:
Compound: BaLi2Rh
Source: the Alexandria database
Functional: meta-GGA SCAN
Structure: PBEsol geometry

Lattice parameters (Å, degrees): 3.408 4.666 5.580 90.00 100.66 90.00
Positions (direct):
1 Ba 0.000 0.000 0.000
2 Li 0.294 0.500 0.662
3 Li 0.706 0.500 0.338
4 Rh 0.500 0.000 0.500


Model 3:
Compound: BaLi2Rh
Source: the Alexandria database
Functional: meta-GGA SCAN
Structure: PBEsol geometry

Lattice parameters (Å, degrees): 4.724 4.724 5.352 105.56 105.56 50.25
Positions (direct):
1 Ba 0.000 0.000 0.000
2 Li 0.196 0.196 0.598
3 Li 0.804 0.804 0.402
4 Rh 0.500 0.500 0.500


model 1 takes first place; second place is 4.1 kJ/mol of atoms up.